1.
Compound: KHfZrZn2
Source: the Alexandria database
Functional: GGA-PBE
Structure: relaxed

Cell lengths 5.102, 5.102, 5.266 Å; angles 90.00, 90.00, 90.00 degrees
Last column: magnetic moment on the atom in μB.
Atoms (fractional coordinates):
Zn1 0.000 0.500 0.000  -0.01
Zn2 0.500 0.000 0.000  -0.01
Hf1 0.000 0.000 0.000  -0.20
K1 0.000 0.000 0.500  -0.01
Zr1 0.500 0.500 0.500  0.86

theoretical density = 5.3 g cm⁻³
magnetic moment = 1.0 μB per formula unit
V = 137.1 Å³/cell
space group = P4/mmm (123)
formation enthalpy at 0 K = 1.45 eV per atom

=====

2.
Compound: CsScBi
Source: the Alexandria database
Functional: GGA-PBE
Structure: relaxed

Cell lengths 4.152, 4.152, 14.806 Å; angles 98.06, 98.06, 90.00 degrees
Atoms (fractional coordinates):
Sc1 0.285 0.285 0.570
Sc2 0.715 0.715 0.430
Bi1 0.181 0.181 0.362
Bi2 0.819 0.819 0.638
Cs1 0.585 0.585 0.170
Cs2 0.415 0.415 0.830

theoretical density = 5.1 g cm⁻³
magnetic moment = 0.0 μB per formula unit
V = 250.2 Å³/cell
space group = I4/mmm (139)
formation enthalpy at 0 K = -0.44 eV per atom
E above lowest polymorph = 27 meV per atom

=====

3.
Compound: GePt3Cl
Source: the Alexandria database
Functional: GGA-PBE
Structure: relaxed

Cell lengths 4.619, 4.619, 4.619 Å; angles 90.00, 90.00, 90.00 degrees
Atoms (fractional coordinates):
Ge1 0.500 0.500 0.500
Pt1 0.000 0.500 0.000
Pt2 0.000 0.000 0.500
Pt3 0.500 0.000 0.000
Cl1 0.000 0.000 0.000

theoretical density = 11.7 g cm⁻³
magnetic moment = 0.0 μB per formula unit
V = 98.6 Å³/cell
raw formation energy = 92.6 kJ per mole of atoms
space group = Pm-3m (221)
E above lowest polymorph = 284 meV per atom

=====

4.
Compound: Sr2LiAl7
Source: the Alexandria database
Functional: GGA-PBE
Structure: relaxed

Cell lengths 4.422, 4.422, 11.477 Å; angles 90.00, 90.00, 90.00 degrees
Atoms (fractional coordinates):
Sr1 0.500 0.000 0.747
Sr2 0.000 0.500 0.253
Li1 0.500 0.500 0.000
Al1 0.000 0.500 0.866
Al2 0.500 0.000 0.363
Al3 0.500 0.000 0.134
Al4 0.000 0.500 0.637
Al5 0.000 0.000 0.500
Al6 0.000 0.000 0.000
Al7 0.500 0.500 0.500

theoretical density = 2.7 g cm⁻³
magnetic moment = 0.0 μB per formula unit
V = 224.4 Å³/cell
space group = P-4m2 (115)
formation enthalpy at 0 K = -0.22 eV per atom

=====

5.
Compound: LaZrS3
Source: the Alexandria database
Functional: GGA-PBE
Structure: relaxed

Cell lengths 4.926, 4.926, 4.926 Å; angles 90.00, 90.00, 90.00 degrees
Atoms (fractional coordinates):
S1 0.000 0.500 0.000
S2 0.000 0.000 0.500
S3 0.500 0.000 0.000
Zr1 0.000 0.000 0.000
La1 0.500 0.500 0.500

theoretical density = 4.5 g cm⁻³
magnetic moment = 0.0 μB per formula unit
V = 119.6 Å³/cell
raw formation energy = -149.5 kJ per mole of atoms
space group = Pm-3m (221)
E above lowest polymorph = 316 meV per atom

=====

6.
Compound: FeTc3Ge
Source: the Alexandria database
Functional: GGA-PBE
Structure: relaxed

Cell lengths 4.451, 4.451, 4.451 Å; angles 90.00, 90.00, 90.00 degrees
Atoms (fractional coordinates):
Ge1 0.000 0.000 0.000
Tc1 0.000 0.500 0.000
Tc2 0.000 0.000 0.500
Tc3 0.500 0.000 0.000
Fe1 0.500 0.500 0.500

theoretical density = 8.0 g cm⁻³
magnetic moment = 0.0 μB per formula unit
V = 88.2 Å³/cell
space group = Pm-3m (221)
formation enthalpy at 0 K = 1.72 eV per atom
E above lowest polymorph = 485 meV per atom

=====

7.
Compound: Li3VI
Source: the Alexandria database
Functional: GGA-PBE
Structure: relaxed

Cell lengths 5.203, 5.203, 5.203 Å; angles 90.00, 90.00, 90.00 degrees
Last column: magnetic moment on the atom in μB.
Atoms (fractional coordinates):
I1 0.000 0.000 0.000  0.06
V1 0.500 0.500 0.500  3.14
Li1 0.000 0.500 0.000  0.03
Li2 0.000 0.000 0.500  0.03
Li3 0.500 0.000 0.000  0.03

theoretical density = 2.3 g cm⁻³
magnetic moment = 4.9 μB per formula unit
V = 140.9 Å³/cell
raw formation energy = 41.9 kJ per mole of atoms
space group = Pm-3m (221)
E above lowest polymorph = 0 meV per atom

=====

8.
Compound: MgSiOs2
Source: the Alexandria database
Functional: GGA-PBE
Structure: relaxed

Cell lengths 2.773, 2.773, 8.791 Å; angles 90.00, 90.00, 116.29 degrees
Atoms (fractional coordinates):
Mg1 0.500 0.500 0.751
Os1 0.000 0.000 0.004
Os2 0.500 0.500 0.265
Si1 0.000 0.000 0.480

theoretical density = 11.9 g cm⁻³
magnetic moment = 0.0 μB per formula unit
V = 60.6 Å³/cell
raw formation energy = 37.6 kJ per mole of atoms
space group = Cmm2 (35)

=====

9.
Compound: Ac2Nd3Y2
Source: the Alexandria database
Functional: GGA-PBE
Structure: relaxed

Cell lengths 3.767, 11.208, 8.333 Å; angles 93.87, 47.32, 90.02 degrees
Atoms (fractional coordinates):
Ac1 0.148 0.150 0.568
Ac2 0.852 0.850 0.432
Nd1 0.000 0.000 0.000
Nd2 0.577 0.565 0.282
Nd3 0.423 0.435 0.718
Y1 0.297 0.291 0.135
Y2 0.703 0.709 0.865

theoretical density = 6.9 g cm⁻³
magnetic moment = 0.0 μB per formula unit
V = 257.6 Å³/cell
space group = C2/m (12)
formation enthalpy at 0 K = 0.03 eV per atom

=====

10.
Compound: MgSc7Tl4
Source: the Alexandria database
Functional: GGA-PBE
Structure: relaxed

Cell lengths 5.380, 8.967, 7.216 Å; angles 80.85, 68.11, 72.54 degrees
Last column: magnetic moment on the atom in μB.
Atoms (fractional coordinates):
Mg1 0.000 0.000 0.000  0.01
Sc1 0.790 0.877 0.543  0.27
Sc2 0.210 0.123 0.457  0.27
Sc3 0.074 0.666 0.187  0.32
Sc4 0.926 0.334 0.813  0.32
Sc5 0.344 0.583 0.730  0.23
Sc6 0.500 0.000 0.000  0.12
Sc7 0.656 0.417 0.270  0.23
Tl1 0.572 0.221 0.635  0.00
Tl2 0.428 0.779 0.365  0.00
Tl3 0.710 0.669 0.911  0.00
Tl4 0.290 0.331 0.089  0.00

theoretical density = 6.2 g cm⁻³
magnetic moment = 2.6 μB per formula unit
V = 307.7 Å³/cell
space group = C2/m (12)
formation enthalpy at 0 K = 0.04 eV per atom

=====

11.
Compound: Hf2Fe3Tc
Source: the Alexandria database
Functional: GGA-PBE
Structure: relaxed

Cell lengths 4.972, 4.972, 5.081 Å; angles 89.94, 119.28, 120.08 degrees
Last column: magnetic moment on the atom in μB.
Atoms (fractional coordinates):
Hf1 0.752 0.376 0.128  -0.31
Hf2 0.248 0.624 0.872  -0.31
Fe1 0.500 0.500 0.500  1.89
Fe2 0.000 0.000 0.500  1.89
Fe3 0.500 0.000 0.500  1.90
Tc1 0.000 0.000 0.000  0.35

theoretical density = 11.5 g cm⁻³
magnetic moment = 5.2 μB per formula unit
V = 89.7 Å³/cell
space group = C2/m (12)
formation enthalpy at 0 K = -0.31 eV per atom

=====

12.
Compound: KAlOs2
Source: the Alexandria database
Functional: GGA-PBE
Structure: relaxed

Cell lengths 4.250, 2.751, 7.269 Å; angles 80.95, 90.00, 90.00 degrees
Last column: magnetic moment on the atom in μB.
Atoms (fractional coordinates):
K1 0.500 0.750 0.750  0.01
Os1 0.000 0.015 0.095  0.62
Os2 0.000 0.485 0.405  0.62
Al1 0.500 0.250 0.250  -0.01

theoretical density = 8.8 g cm⁻³
magnetic moment = 1.4 μB per formula unit
V = 83.9 Å³/cell
space group = P2/m (10)
formation enthalpy at 0 K = 0.83 eV per atom

=====

13.
Compound: Tb3YSc2Te6
Source: the Alexandria database
Functional: GGA-PBE
Structure: relaxed

Cell lengths 4.292, 8.639, 9.631 Å; angles 103.07, 102.88, 90.00 degrees
Atoms (fractional coordinates):
Tb1 0.500 0.500 0.000
Tb2 0.839 0.170 0.677
Tb3 0.161 0.830 0.323
Y1 0.500 0.000 0.000
Sc1 0.834 0.668 0.669
Sc2 0.166 0.332 0.331
Te1 0.331 0.906 0.662
Te2 0.671 0.574 0.342
Te3 0.669 0.094 0.338
Te4 0.006 0.252 0.012
Te5 0.994 0.748 0.988
Te6 0.329 0.426 0.658

theoretical density = 7.0 g cm⁻³
magnetic moment = 0.0 μB per formula unit
V = 338.7 Å³/cell
raw formation energy = -119.2 kJ per mole of atoms
space group = C2/m (12)

=====

14.
Compound: Al3PBr
Source: the Alexandria database
Functional: GGA-PBE
Structure: relaxed

Cell lengths 4.961, 4.961, 4.961 Å; angles 90.00, 90.00, 90.00 degrees
Atoms (fractional coordinates):
P1 0.000 0.000 0.000
Al1 0.000 0.500 0.000
Al2 0.000 0.000 0.500
Al3 0.500 0.000 0.000
Br1 0.500 0.500 0.500

theoretical density = 2.6 g cm⁻³
magnetic moment = 0.0 μB per formula unit
V = 122.1 Å³/cell
raw formation energy = 34.4 kJ per mole of atoms
space group = Pm-3m (221)
E above lowest polymorph = 0 meV per atom

=====

15.
Compound: ZnSnCl6
Source: the Alexandria database
Functional: GGA-PBE
Structure: relaxed

Cell lengths 6.314, 6.314, 6.715 Å; angles 61.95, 61.95, 60.00 degrees
Atoms (fractional coordinates):
Zn1 0.500 0.500 0.500
Sn1 0.000 0.000 0.000
Cl1 0.097 0.402 0.749
Cl2 0.753 0.097 0.749
Cl3 0.598 0.247 0.251
Cl4 0.247 0.903 0.251
Cl5 0.903 0.598 0.251
Cl6 0.402 0.753 0.749

theoretical density = 3.4 g cm⁻³
magnetic moment = 0.0 μB per formula unit
V = 194.7 Å³/cell
raw formation energy = -85.0 kJ per mole of atoms
space group = R-3 (148)

=====

16.
Compound: BaInFe2Ge
Source: the Alexandria database
Functional: GGA-PBE
Structure: relaxed

Cell lengths 5.194, 5.755, 5.194 Å; angles 90.00, 90.00, 90.00 degrees
Last column: magnetic moment on the atom in μB.
Atoms (fractional coordinates):
Fe1 0.000 0.000 0.500  2.66
Fe2 0.500 0.000 0.000  2.98
Ge1 0.000 0.500 0.000  0.05
Ba1 0.000 0.000 0.000  -0.13
In1 0.500 0.500 0.500  0.01

theoretical density = 4.7 g cm⁻³
magnetic moment = 5.8 μB per formula unit
V = 155.2 Å³/cell
space group = P4/mmm (123)
formation enthalpy at 0 K = 1.84 eV per atom
E above lowest polymorph = 1058 meV per atom

=====

17.
Compound: Pm2SmTm4
Source: the Alexandria database
Functional: GGA-PBE
Structure: relaxed

Cell lengths 8.514, 9.868, 9.846 Å; angles 144.54, 97.31, 95.11 degrees
Atoms (fractional coordinates):
Pm1 0.557 0.502 0.740
Pm2 0.692 0.933 0.444
Pm3 0.626 0.566 0.441
Pm4 0.125 0.256 0.631
Sm1 0.193 0.319 0.330
Sm2 0.058 0.890 0.629
Tm1 0.771 0.110 0.259
Tm2 0.270 0.582 0.232
Tm3 0.980 0.708 0.809
Tm4 0.838 0.222 0.017
Tm5 0.337 0.893 0.189
Tm6 0.479 0.240 0.841
Tm7 0.413 0.928 0.882
Tm8 0.913 0.602 0.056

theoretical density = 8.3 g cm⁻³
magnetic moment = 0.0 μB per formula unit
V = 448.5 Å³/cell
space group = P1 (1)
formation enthalpy at 0 K = 0.08 eV per atom
E above lowest polymorph = 0 meV per atom

=====

18.
Compound: Co2Sb
Source: the Alexandria database
Functional: GGA-PBE
Structure: relaxed

Cell lengths 4.532, 4.532, 4.532 Å; angles 140.93, 132.55, 63.09 degrees
Last column: magnetic moment on the atom in μB.
Atoms (fractional coordinates):
Co1 0.330 0.330 0.000  1.16
Co2 0.670 0.670 0.000  1.16
Sb1 0.000 0.000 0.000  -0.01

theoretical density = 9.3 g cm⁻³
magnetic moment = 2.2 μB per formula unit
V = 42.7 Å³/cell
raw formation energy = 21.1 kJ per mole of atoms
space group = Immm (71)

=====

19.
Compound: CsZr2O
Source: the Alexandria database
Functional: GGA-PBE
Structure: relaxed

Cell lengths 6.972, 6.972, 6.976 Å; angles 60.02, 60.02, 90.00 degrees
Atoms (fractional coordinates):
Cs1 0.000 0.000 0.000
Cs2 0.750 0.250 0.500
O1 0.500 0.500 0.000
O2 0.250 0.750 0.500
Zr1 0.376 0.125 0.250
Zr2 0.374 0.625 0.250
Zr3 0.375 0.624 0.750
Zr4 0.875 0.626 0.750

theoretical density = 4.6 g cm⁻³
magnetic moment = 0.0 μB per formula unit
V = 239.9 Å³/cell
raw formation energy = -46.2 kJ per mole of atoms
space group = I-42d (122)

=====

20.
Compound: Pr3Dy2HoTe6
Source: the Alexandria database
Functional: GGA-PBE
Structure: relaxed

Cell lengths 4.381, 9.007, 9.989 Å; angles 104.69, 102.67, 90.00 degrees
Atoms (fractional coordinates):
Pr1 0.500 0.500 0.000
Pr2 0.833 0.167 0.666
Pr3 0.167 0.833 0.334
Dy1 0.833 0.667 0.666
Dy2 0.167 0.333 0.334
Ho1 0.500 0.000 0.000
Te1 0.337 0.909 0.675
Te2 0.670 0.574 0.340
Te3 0.663 0.091 0.325
Te4 0.003 0.240 0.006
Te5 0.997 0.760 0.994
Te6 0.330 0.426 0.660

theoretical density = 7.5 g cm⁻³
magnetic moment = 0.0 μB per formula unit
V = 371.4 Å³/cell
raw formation energy = -131.3 kJ per mole of atoms
space group = C2/m (12)

=====

Number 1: Fermi-level density of states 4.24 states/eV per cell. Number 2: Fermi-level density of states 5.49 states/eV per cell. Number 3: Fermi-level density of states 3.47 states/eV per cell. Number 4: Fermi-level density of states 2.79 states/eV per cell. Number 5: Fermi-level density of states 3.96 states/eV per cell. Number 6: Fermi-level density of states 10.91 states/eV per cell. Number 7: Fermi-level density of states 2.50 states/eV per cell. Number 8: Fermi-level density of states 3.87 states/eV per cell. Number 9: Fermi-level density of states 9.20 states/eV per cell. Number 10: Fermi-level density of states 13.87 states/eV per cell. Number 11: Fermi-level density of states 4.76 states/eV per cell. Number 12: Fermi-level density of states 3.04 states/eV per cell. Number 13: Fermi-level density of states 7.37 states/eV per cell. Number 14: Fermi-level density of states 1.87 states/eV per cell. Number 15: Fermi-level density of states 0.00 states/eV per cell. Number 16: Fermi-level density of states 7.28 states/eV per cell. Number 17: Fermi-level density of states 22.20 states/eV per cell. Number 18: Fermi-level density of states 4.08 states/eV per cell. Number 19: Fermi-level density of states 7.71 states/eV per cell. Number 20: Fermi-level density of states 5.88 states/eV per cell.